Ac2LaTl: relaxed, PBE.

## Properties
mass density = 9.08 g/cm³
relative energy among the computed polymorphs = 9.3 meV per atom
energy = -4.03 eV per atom

extended XYZ file:
```
4
Lattice="-3.7733 -3.5130 -0.1740 3.6241 -3.8865 -0.1251 -0.0460 -0.2138 5.3110" Properties=species:S:1:pos:R:3 pbc="T T T"
Ac -0.0230 -0.1069 2.6555
Ac 1.8121 -1.9433 -0.0625
Tl -1.8867 -1.7565 -0.0870
La -0.0976 -3.8066 2.5060
```